Computed, not measured: a geometry-optimized MnTc2Os structure at the GGA-PBE level of DFT.

Cell: 4.322 4.322 4.322 Å, 60.00 60.00 60.00°
Fractional positions:
Os1 0.500 0.500 0.500
Tc1 0.750 0.750 0.750
Tc2 0.250 0.250 0.250
Mn1 0.000 0.000 0.000

Values from the calculation:
Energy ... -10.02 eV/atom
N(E_F) ... 1.233 states/eV per atom
Volume ... 57 Å³ per cell